No. 1
Compound: ZrGa5Tc
Source: the Alexandria database
Functional: GGA-PBE
Structure: relaxed

The structure in POSCAR format:
```
ZrGa5Tc
1.0
-3.478 -1.179 -2.098
1.236 -4.039 0.222
-3.359 -0.699 5.962
Zr Ga Tc
1 5 1
Direct
0.000 0.000 0.000
0.500 0.000 0.704
0.000 0.500 0.704
0.500 0.500 0.000
0.000 0.500 0.296
0.500 0.000 0.296
0.000 0.000 0.500
```

Output
Magnetization   0.0 μB per cell
Total energy   -5.197 eV per atom
DFT formation energy   -0.333 eV/atom
SG   No. 123


No. 2
Compound: Ac2BPt6
Source: the Alexandria database
Functional: GGA-PBE
Structure: relaxed

The structure in POSCAR format:
```
Ac2BPt6
1.0
1.574 4.405 4.098
5.028 -0.741 3.584
5.054 3.490 -0.974
Ac B Pt
2 1 6
Direct
0.250 0.250 0.250
0.750 0.750 0.750
0.000 0.000 0.000
0.255 0.745 0.745
0.255 0.745 0.255
0.745 0.255 0.745
0.745 0.255 0.255
0.745 0.745 0.255
0.255 0.255 0.745
```

Output
Magnetization   0.0 μB per cell
Total energy   -6.456 eV per atom
DFT formation energy   -0.774 eV/atom
SG   No. 225


No. 3
Compound: NbI4Br
Source: the Alexandria database
Functional: GGA-PBE
Structure: relaxed

The structure in POSCAR format:
```
NbI4Br
1.0
-5.983 5.052 8.597
-7.750 -1.216 1.732
1.650 -4.836 3.991
Nb I Br
2 8 2
Direct
0.000 0.000 0.000
0.000 0.500 0.500
0.134 0.133 0.745
0.866 0.367 0.245
0.236 0.300 0.264
0.764 0.200 0.764
0.866 0.867 0.255
0.134 0.633 0.755
0.764 0.700 0.736
0.236 0.800 0.236
0.500 0.500 0.000
0.500 0.000 0.500
```

Output
Magnetization   1.1 μB per cell
ΔE_f (raw)   -269.4 meV/atom
Total energy   -3.260 eV per atom
SG   No. 14


No. 4
Compound: Li2Ac3Pb3
Source: the Alexandria database
Functional: GGA-PBE
Structure: relaxed

The structure in POSCAR format:
```
Li2Ac3Pb3
1.0
-4.184 1.025 -2.385
2.569 -5.867 -1.946
-8.631 -7.703 11.831
Li Ac Pb
4 6 6
Direct
0.785 0.571 0.913
0.215 0.429 0.413
0.785 0.571 0.587
0.215 0.429 0.087
0.917 0.834 0.387
0.083 0.166 0.887
0.917 0.834 0.113
0.083 0.166 0.613
0.629 0.259 0.250
0.371 0.741 0.750
0.614 0.229 0.457
0.386 0.771 0.957
0.614 0.229 0.043
0.386 0.771 0.543
0.329 0.657 0.250
0.671 0.343 0.750
```

Output
Magnetization   1.8 μB per cell
Total energy   -3.904 eV per atom
DFT formation energy   -0.495 eV/atom
SG   No. 63


No. 5
Compound: Cs2TaBr
Source: the Alexandria database
Functional: GGA-PBE
Structure: relaxed

The structure in POSCAR format:
```
Cs2TaBr
1.0
1.281 -5.875 2.374
2.602 -0.611 5.887
-3.538 -2.361 4.869
Cs Br Ta
2 1 1
Direct
0.250 0.250 0.250
0.750 0.750 0.750
0.000 0.000 0.000
0.500 0.500 0.500
```

Output
Magnetization   4.0 μB per cell
ΔE_f (raw)   779.9 meV/atom
Total energy   -3.028 eV per atom
SG   No. 225


No. 6
Compound: ZrFe3H6
Source: the Alexandria database
Functional: GGA-PBE
Structure: relaxed

The structure in POSCAR format:
```
ZrFe3H6
1.0
-0.611 1.243 -4.132
4.038 -0.635 1.510
-1.133 -4.721 1.045
Zr Fe H
1 3 6
Direct
0.784 0.892 0.676
0.662 0.331 0.993
0.347 0.673 0.020
0.199 0.100 0.299
0.322 0.420 0.732
0.178 0.699 0.272
0.794 0.095 0.272
0.312 0.902 0.732
0.829 0.409 0.732
0.573 0.478 0.272
```

Output
Magnetization   1.3 μB per cell
Total energy   -5.518 eV per atom
SG   No. 146


Number 5 is which compound?
Cs2TaBr


total energy of number 1 (ZrGa5Tc)?
-5.197 eV per atom


Which formula does entry 5 have?
Cs2TaBr


The highest magnetization belongs to which entry?
Cs2TaBr